Computed, not measured: an optimized crystal structure of Zn2FeSbO6 at the PBE+U level of DFT.

Cell and atoms, written as POSCAR:
```
Zn2FeSbO6
1.0
5.2726 0.0000 0.0000
0.0000 7.7325 0.0000
-0.0264 0.0000 5.3169
Zn Fe Sb O
4 2 2 12
Direct
0.0114 0.2500 0.0517
0.4772 0.7500 0.4834
0.5228 0.2500 0.5166
0.9886 0.7500 0.9483
0.0000 0.0000 0.5000
0.0000 0.5000 0.5000
0.5000 0.0000 0.0000
0.5000 0.5000 0.0000
0.1113 0.7500 0.5786
0.1795 0.0666 0.8254
0.1795 0.4334 0.8254
0.3320 0.0665 0.3182
0.3320 0.4335 0.3182
0.3700 0.7500 0.0798
0.6300 0.2500 0.9202
0.6680 0.5665 0.6818
0.6680 0.9335 0.6818
0.8205 0.5666 0.1746
0.8205 0.9334 0.1746
0.8887 0.2500 0.4214
```

Calculated values
Space-group type: P2_1/m
Spin magnetization, μB per cell: 10.00
Energy relative to the lowest polymorph listed for this composition, meV per atom: 54.3